## i
A plane-wave DFT calculation with PBE was carried out for crystalline BAsSe2Br at its relaxed geometry.

```
BAsSe2Br
1.0
-1.7234 1.3641 4.6941
-4.4428 -2.5131 -0.9009
2.0417 -4.3290 2.0076
As Se B Br
1 2 1 1
Direct
0.0000 0.0000 0.5000
0.0000 0.5000 0.0000
0.5000 0.0000 0.0000
0.5000 0.5000 0.5000
0.0000 0.0000 0.0000
```

***

## ii
A plane-wave DFT calculation with PBE was carried out for crystalline BAsSe2Br at its relaxed geometry.

```
BAsSe2Br
1.0
5.0418 0.0000 0.0000
0.0000 5.0418 0.0000
0.0000 0.0000 5.3039
Br Se As B
1 2 1 1
Direct
0.0000 0.0000 0.5000
0.5000 0.0000 0.0000
0.0000 0.5000 0.0000
0.0000 0.0000 0.0000
0.5000 0.5000 0.5000
```

***

## iii
A plane-wave DFT calculation with PBE was carried out for crystalline BAsSe2Br at its relaxed geometry.

```
BAsSe2Br
1.0
4.6083 0.0000 0.0000
0.0000 4.6083 0.0000
0.0000 0.0000 4.4543
Se As Br B
2 1 1 1
Direct
0.5000 0.0000 0.0000
0.0000 0.5000 0.0000
0.5000 0.5000 0.5000
0.0000 0.0000 0.5000
0.0000 0.0000 0.0000
```

***

We find iii to be the most stable, with the next structure 0.408 eV/atom higher.

***

## i
A plane-wave DFT calculation with PBE was carried out for crystalline SnBAs2Br at its relaxed geometry.

```
SnBAs2Br
1.0
5.2780 0.0000 0.0000
0.0000 5.2780 0.0000
0.0000 0.0000 5.6094
Br B As Sn
1 1 2 1
Direct
0.0000 0.0000 0.5000
0.5000 0.5000 0.5000
0.0000 0.5000 0.0000
0.5000 0.0000 0.0000
0.0000 0.0000 0.0000
```

***

## ii
A plane-wave DFT calculation with PBE was carried out for crystalline SnBAs2Br at its relaxed geometry.

```
SnBAs2Br
1.0
-3.1743 -2.6256 1.3171
0.6634 -2.5299 -3.4444
4.0028 -3.2538 3.1608
Sn As B Br
1 2 1 1
Direct
0.5000 0.5000 0.5000
0.5000 0.0000 0.0000
0.0000 0.5000 0.0000
0.0000 0.0000 0.0000
0.0000 0.0000 0.5000
```

***

We find ii to be the most stable, with the next structure 0.876 eV/atom higher.

***

## i
A plane-wave DFT calculation with PBE was carried out for crystalline SnBAsBr2 at its relaxed geometry.

```
SnBAsBr2
1.0
-3.9900 -3.9258 0.1110
3.8291 -3.9238 -1.1338
0.8493 -0.7124 5.3337
Br As B Sn
2 1 1 1
Direct
0.0000 0.5000 0.0000
0.5000 0.0000 0.0000
0.0000 0.0000 0.5000
0.5000 0.5000 0.5000
0.0000 0.0000 0.0000
```

***

## ii
A plane-wave DFT calculation with PBE was carried out for crystalline SnBAsBr2 at its relaxed geometry.

```
SnBAsBr2
1.0
4.6946 0.0000 0.0000
0.0000 4.6946 0.0000
0.0000 0.0000 4.8329
Sn B Br As
1 1 2 1
Direct
0.5000 0.5000 0.5000
0.0000 0.0000 0.0000
0.0000 0.5000 0.0000
0.5000 0.0000 0.0000
0.0000 0.0000 0.5000
```

***

We find ii to be the most stable, with the next structure 0.551 eV/atom higher.

***

## i
A plane-wave DFT calculation with PBE was carried out for crystalline SrBAsBr2 at its relaxed geometry.

```
SrBAsBr2
1.0
5.8746 0.0000 0.0000
0.0000 5.8746 0.0000
0.0000 0.0000 6.2987
Sr B Br As
1 1 2 1
Direct
0.0000 0.0000 0.0000
0.5000 0.5000 0.5000
0.5000 0.0000 0.0000
0.0000 0.5000 0.0000
0.0000 0.0000 0.5000
```

***

## ii
A plane-wave DFT calculation with PBE was carried out for crystalline SrBAsBr2 at its relaxed geometry.

```
SrBAsBr2
1.0
5.3368 0.0000 0.0000
0.0000 5.3368 0.0000
0.0000 0.0000 4.2531
Sr Br B As
1 2 1 1
Direct
0.5000 0.5000 0.5000
0.0000 0.5000 0.0000
0.5000 0.0000 0.0000
0.0000 0.0000 0.0000
0.0000 0.0000 0.5000
```

***

We find ii to be the most stable, with the next structure 0.752 eV/atom higher.

***

## i
A plane-wave DFT calculation with PBE was carried out for crystalline BTeAs2Br at its relaxed geometry.

```
BTeAs2Br
1.0
4.7378 0.0000 0.0000
0.0000 4.7378 0.0000
0.0000 0.0000 4.4203
B Te As Br
1 1 2 1
Direct
0.0000 0.0000 0.0000
0.5000 0.5000 0.5000
0.5000 0.0000 0.0000
0.0000 0.5000 0.0000
0.0000 0.0000 0.5000
```

***

## ii
A plane-wave DFT calculation with PBE was carried out for crystalline BTeAs2Br at its relaxed geometry.

```
BTeAs2Br
1.0
-1.1027 3.0236 4.3456
-2.5521 -4.1927 2.2696
4.8426 -1.6580 2.3824
Br As Te B
1 2 1 1
Direct
0.0000 0.0000 0.5000
0.0000 0.5000 0.0000
0.5000 0.0000 0.0000
0.0000 0.0000 0.0000
0.5000 0.5000 0.5000
```

***

We find i to be the most stable, with the next structure 0.913 eV/atom higher.

***

## i
A plane-wave DFT calculation with PBE was carried out for crystalline BTeAsBr2 at its relaxed geometry.

```
BTeAsBr2
1.0
4.5765 0.0000 0.0000
0.0000 4.5765 0.0000
0.0000 0.0000 5.0319
Te As B Br
1 1 1 2
Direct
0.5000 0.5000 0.5000
0.0000 0.0000 0.5000
0.0000 0.0000 0.0000
0.0000 0.5000 0.0000
0.5000 0.0000 0.0000
```

***

## ii
A plane-wave DFT calculation with PBE was carried out for crystalline BTeAsBr2 at its relaxed geometry.

```
BTeAsBr2
1.0
5.6598 0.0000 0.0000
0.0000 5.6598 0.0000
0.0000 0.0000 5.3703
Te As Br B
1 1 2 1
Direct
0.0000 0.0000 0.0000
0.0000 0.0000 0.5000
0.0000 0.5000 0.0000
0.5000 0.0000 0.0000
0.5000 0.5000 0.5000
```

***

We find i to be the most stable, with the next structure 0.601 eV/atom higher.

***

## i
A plane-wave DFT calculation with PBE was carried out for crystalline TlBAs2Br at its relaxed geometry.

```
TlBAs2Br
1.0
5.3608 0.0000 0.0000
0.0000 5.3608 0.0000
0.0000 0.0000 5.8614
B Br As Tl
1 1 2 1
Direct
0.5000 0.5000 0.5000
0.0000 0.0000 0.5000
0.0000 0.5000 0.0000
0.5000 0.0000 0.0000
0.0000 0.0000 0.0000
```

***

## ii
A plane-wave DFT calculation with PBE was carried out for crystalline TlBAs2Br at its relaxed geometry.

```
TlBAs2Br
1.0
-1.0577 2.9990 -2.9448
-2.9140 -2.7115 -1.7148
-5.6503 2.9127 4.9959
As Br Tl B
2 1 1 1
Direct
0.0000 0.5000 0.0000
0.5000 0.0000 0.0000
0.0000 0.0000 0.5000
0.5000 0.5000 0.5000
0.0000 0.0000 0.0000
```

***

We find ii to be the most stable, with the next structure 1.153 eV/atom higher.

***

## i
A plane-wave DFT calculation with PBE was carried out for crystalline VBAsBr2 at its relaxed geometry.

```
VBAsBr2
1.0
4.5180 0.0000 0.0000
0.0000 4.5180 0.0000
0.0000 0.0000 4.6287
B As V Br
1 1 1 2
Direct
0.0000 0.0000 0.0000
0.0000 0.0000 0.5000
0.5000 0.5000 0.5000
0.0000 0.5000 0.0000
0.5000 0.0000 0.0000
```

***

## ii
A plane-wave DFT calculation with PBE was carried out for crystalline VBAsBr2 at its relaxed geometry.

```
VBAsBr2
1.0
-1.4307 -1.1235 -4.7452
-4.6354 -1.2220 1.6869
-1.4466 4.5894 -0.6504
Br B As V
2 1 1 1
Direct
0.0000 0.5000 0.0000
0.5000 0.0000 0.0000
0.5000 0.5000 0.5000
0.0000 0.0000 0.5000
0.0000 0.0000 0.0000
```

***

We find ii to be the most stable, with the next structure 0.215 eV/atom higher.